1.
YAlAu3: relaxed, GGA-PBE.

a b c (Å): 4.827 4.827 4.827
angles (deg): 90.00 90.00 90.00
Space group Pm-3m (No. 221)
Asymmetric unit:
Y 0.000 0.000 0.000 (multiplicity 1)
Al 0.500 0.500 0.500 (multiplicity 1)
Au 0.000 0.500 0.500 (multiplicity 3)

Computed properties:
- excess energy over the best structure of this formula in the dataset (meV/atom) = 354
- spin magnetization (μB/f.u.) = 0.00

---

2.
YAlAu3: relaxed, GGA-PBE.

a b c (Å): 5.455 5.455 5.455
angles (deg): 90.00 90.00 90.00
Space group Pm-3m (No. 221)
Asymmetric unit:
Y 0.000 0.000 0.000 (multiplicity 1)
Al 0.500 0.500 0.500 (multiplicity 1)
Au 0.000 0.000 0.500 (multiplicity 3)

Computed properties:
- excess energy over the best structure of this formula in the dataset (meV/atom) = 1162
- spin magnetization (μB/f.u.) = 0.00

---

3.
Y2AlAu: relaxed, GGA-PBE.

a b c (Å): 4.522 3.816 11.334
angles (deg): 90.00 90.00 90.00
Space group Amm2 (No. 38)
Asymmetric unit:
Y 0.000 0.000 0.000 (multiplicity 2)
Y 0.500 0.000 0.298 (multiplicity 2)
Al 0.500 0.000 0.576 (multiplicity 2)
Au 0.000 0.000 0.723 (multiplicity 2)

Computed properties:
- DFT total energy (eV per cell) = -44.997
- spin magnetization (μB/f.u.) = 0.00

---

4.
YAl2Au: relaxed, GGA-PBE.

a b c (Å): 3.403 3.403 6.876
angles (deg): 90.00 90.00 90.00
Space group P4mm (No. 99)
Asymmetric unit:
Y 0.000 0.000 0.000 (multiplicity 1)
Al 0.000 0.000 0.508 (multiplicity 1)
Al 0.500 0.500 0.292 (multiplicity 1)
Au 0.500 0.500 0.701 (multiplicity 1)

Computed properties:
- DFT total energy (eV per cell) = -18.990
- spin magnetization (μB/f.u.) = 0.00

---

5.
Y2Al6Au3: relaxed, GGA-PBE.

a b c (Å): 7.8387 7.8387 4.1381
angles (deg): 90.00 90.00 120.00
Space group P-62m (No. 189)
Asymmetric unit:
Y 0.3333 0.6667 0.0000 (multiplicity 2)
Al 0.0000 0.1916 0.0000 (multiplicity 3)
Al 0.0000 0.6981 0.5000 (multiplicity 3)
Au 0.0000 0.3747 0.5000 (multiplicity 3)

Computed properties:
- DFT total energy (eV per cell) = -51.806
- spin magnetization (μB/f.u.) = 0.00

---

6.
Y2AlAu: relaxed, GGA-PBE.

a b c (Å): 3.7789 3.7789 25.3893
angles (deg): 90.00 90.00 120.00
Space group R-3m (No. 166, hexagonal axes)
Asymmetric unit:
Y 0.0000 0.0000 0.2470 (multiplicity 6)
Al 0.0000 0.0000 0.0000 (multiplicity 3)
Au 0.0000 0.0000 0.5000 (multiplicity 3)

Computed properties:
- DFT total energy (eV per cell) = -64.575
- spin magnetization (μB/f.u.) = 0.00

---

7.
YAlAu11: relaxed, GGA-PBE.

a b c (Å): 5.524 13.493 7.145
angles (deg): 90.00 110.48 90.00
Space group C2/m (No. 12)
Asymmetric unit:
Y 0.000 0.000 0.000 (multiplicity 2)
Al 0.000 0.500 0.500 (multiplicity 2)
Au 0.000 0.000 0.500 (multiplicity 2)
Au 0.083 0.396 0.217 (multiplicity 8)
Au 0.169 0.168 0.348 (multiplicity 8)
Au 0.250 0.250 0.000 (multiplicity 4)

Computed properties:
- DFT total energy (eV per cell) = -99.117
- spin magnetization (μB/f.u.) = 0.00

---

8.
YAlAu3: relaxed, GGA-PBE.

a b c (Å): 6.627 4.421 6.991
angles (deg): 90.00 104.45 90.00
Space group P2_1/m (No. 11)
Asymmetric unit:
Y 0.195 0.250 0.190 (multiplicity 2)
Al 0.222 0.750 0.563 (multiplicity 2)
Au 0.094 0.250 0.735 (multiplicity 2)
Au 0.347 0.750 0.951 (multiplicity 2)
Au 0.481 0.250 0.628 (multiplicity 2)

Computed properties:
- excess energy over the best structure of this formula in the dataset (meV/atom) = 0
- spin magnetization (μB/f.u.) = 0.00

---

9.
YAl3Au10: relaxed, GGA-PBE.

a b c (Å): 12.977 12.977 12.977
angles (deg): 90.00 90.00 90.00
Space group Fm-3m (No. 225)
Asymmetric unit:
Y 0.250 0.250 0.250 (multiplicity 8)
Al 0.000 0.000 0.234 (multiplicity 24)
Au 0.000 0.172 0.328 (multiplicity 48)
Au 0.118 0.118 0.118 (multiplicity 32)

Computed properties:
- DFT total energy (eV per cell) = -436.429
- spin magnetization (μB/f.u.) = 0.00

---

10.
Y2Al12Au7: relaxed, GGA-PBE.

a b c (Å): 10.5245 10.5245 4.0592
angles (deg): 90.00 90.00 120.00
Space group P-3 (No. 147)
Asymmetric unit:
Y 0.3333 0.6667 0.2653 (multiplicity 2)
Al 0.0499 0.4349 0.7485 (multiplicity 6)
Al 0.1115 0.2663 0.2596 (multiplicity 6)
Au 0.0000 0.0000 0.5000 (multiplicity 1)
Au 0.1270 0.7115 0.7626 (multiplicity 6)

Computed properties:
- DFT total energy (eV per cell) = -91.454
- spin magnetization (μB/f.u.) = 0.00

---

11.
YAl2Au: relaxed, GGA-PBE.

a b c (Å): 3.433 4.556 5.436
angles (deg): 90.00 90.00 90.00
Space group Pmm2 (No. 25)
Asymmetric unit:
Y 0.000 0.000 0.000 (multiplicity 1)
Al 0.500 0.000 0.498 (multiplicity 1)
Al 0.500 0.500 0.748 (multiplicity 1)
Au 0.500 0.500 0.245 (multiplicity 1)

Computed properties:
- DFT total energy (eV per cell) = -19.050
- spin magnetization (μB/f.u.) = 0.00

---

12.
Y2AlAu: relaxed, GGA-PBE.

a b c (Å): 3.577 4.921 10.803
angles (deg): 90.00 90.00 90.00
Space group Imm2 (No. 44)
Asymmetric unit:
Y 0.000 0.000 0.000 (multiplicity 2)
Y 0.000 0.500 0.220 (multiplicity 2)
Al 0.000 0.000 0.434 (multiplicity 2)
Au 0.000 0.500 0.748 (multiplicity 2)

Computed properties:
- DFT total energy (eV per cell) = -44.307
- spin magnetization (μB/f.u.) = 0.00

---

13.
YAl2Au: relaxed, GGA-PBE.

a b c (Å): 4.291 4.291 4.285
angles (deg): 90.00 90.00 90.00
Space group P4/mmm (No. 123)
Asymmetric unit:
Y 0.000 0.000 0.000 (multiplicity 1)
Al 0.000 0.500 0.500 (multiplicity 2)
Au 0.500 0.500 0.000 (multiplicity 1)

Computed properties:
- DFT total energy (eV per cell) = -19.303
- spin magnetization (μB/f.u.) = 0.00

---

14.
YAl2Au: relaxed, GGA-PBE.

a b c (Å): 3.277 3.277 7.366
angles (deg): 90.00 90.00 90.00
Space group P4/mmm (No. 123)
Asymmetric unit:
Y 0.000 0.000 0.000 (multiplicity 1)
Al 0.500 0.500 0.294 (multiplicity 2)
Au 0.000 0.000 0.500 (multiplicity 1)

Computed properties:
- DFT total energy (eV per cell) = -18.797
- spin magnetization (μB/f.u.) = 0.33

---

15.
YAl4Au: relaxed, GGA-PBE.

a b c (Å): 7.719 7.719 7.719
angles (deg): 90.00 90.00 90.00
Space group F-43m (No. 216)
Asymmetric unit:
Y 0.000 0.000 0.000 (multiplicity 4)
Al 0.126 0.126 0.626 (multiplicity 16)
Au 0.250 0.250 0.250 (multiplicity 4)

Computed properties:
- DFT total energy (eV per cell) = -103.368
- spin magnetization (μB/f.u.) = 0.00

---

16.
Y3Al7Au4: relaxed, GGA-PBE.

a b c (Å): 16.047 4.326 9.737
angles (deg): 90.00 126.70 90.00
Space group C2/m (No. 12)
Asymmetric unit:
Y 0.000 0.000 0.000 (multiplicity 2)
Y 0.189 0.500 0.688 (multiplicity 4)
Al 0.000 0.000 0.500 (multiplicity 2)
Al 0.002 0.500 0.297 (multiplicity 4)
Al 0.152 0.000 0.424 (multiplicity 4)
Al 0.175 0.500 0.032 (multiplicity 4)
Au 0.127 0.000 0.850 (multiplicity 4)
Au 0.155 0.500 0.276 (multiplicity 4)

Computed properties:
- DFT total energy (eV per cell) = -136.762
- spin magnetization (μB/f.u.) = 0.00

---

17.
YAl2Au: relaxed, GGA-PBE.

a b c (Å): 7.471 4.319 5.765
angles (deg): 90.00 115.71 90.00
Space group C2/m (No. 12)
Asymmetric unit:
Y 0.000 0.000 0.000 (multiplicity 2)
Al 0.214 0.000 0.644 (multiplicity 4)
Au 0.000 0.500 0.500 (multiplicity 2)

Computed properties:
- DFT total energy (eV per cell) = -38.807
- spin magnetization (μB/f.u.) = 0.00

---

18.
Y2AlAu: relaxed, GGA-PBE.

a b c (Å): 3.566 3.566 7.468
angles (deg): 90.00 90.00 90.00
Space group P4/mmm (No. 123)
Asymmetric unit:
Y 0.000 0.000 0.244 (multiplicity 2)
Al 0.500 0.500 0.500 (multiplicity 1)
Au 0.500 0.500 0.000 (multiplicity 1)

Computed properties:
- DFT total energy (eV per cell) = -22.477
- spin magnetization (μB/f.u.) = 0.00

---

19.
YAl2Au3: relaxed, GGA-PBE.

a b c (Å): 10.254 8.184 5.648
angles (deg): 90.00 90.00 90.00
Space group Cmcm (No. 63)
Asymmetric unit:
Y 0.000 0.156 0.250 (multiplicity 4)
Al 0.215 0.500 0.000 (multiplicity 8)
Au 0.000 0.478 0.750 (multiplicity 4)
Au 0.155 0.197 0.750 (multiplicity 8)

Computed properties:
- excess energy over the best structure of this formula in the dataset (meV/atom) = 22
- spin magnetization (μB/f.u.) = 0.00

---

20.
YAl3Au2: relaxed, GGA-PBE.

a b c (Å): 16.844 4.209 10.155
angles (deg): 90.00 105.38 90.00
Space group C2/m (No. 12)
Asymmetric unit:
Y 0.000 0.000 0.000 (multiplicity 2)
Y 0.158 0.000 0.706 (multiplicity 4)
Al 0.000 0.500 0.500 (multiplicity 2)
Al 0.042 0.000 0.359 (multiplicity 4)
Al 0.126 0.500 0.197 (multiplicity 4)
Al 0.167 0.500 0.958 (multiplicity 4)
Al 0.213 0.000 0.379 (multiplicity 4)
Au 0.027 0.500 0.782 (multiplicity 4)
Au 0.145 0.500 0.462 (multiplicity 4)
Au 0.198 0.000 0.119 (multiplicity 4)

Computed properties:
- DFT total energy (eV per cell) = -168.219
- spin magnetization (μB/f.u.) = 0.00

---

21.
YAl2Au6: relaxed, GGA-PBE.

a b c (Å): 11.746 11.746 11.746
angles (deg): 90.00 90.00 90.00
Space group Fd-3m (No. 227, origin choice 2)
Asymmetric unit:
Y 0.125 0.125 0.125 (multiplicity 8)
Al 0.000 0.000 0.500 (multiplicity 16)
Au 0.125 0.125 0.375 (multiplicity 48)

Computed properties:
- excess energy over the best structure of this formula in the dataset (meV/atom) = 198
- spin magnetization (μB/f.u.) = 0.00

---

22.
Y3Al2Au4: relaxed, GGA-PBE.

a b c (Å): 10.805 4.566 8.689
angles (deg): 90.00 115.48 90.00
Space group C2/m (No. 12)
Asymmetric unit:
Y 0.000 0.000 0.000 (multiplicity 2)
Y 0.144 0.500 0.689 (multiplicity 4)
Al 0.154 0.500 0.327 (multiplicity 4)
Au 0.083 0.000 0.403 (multiplicity 4)
Au 0.216 0.500 0.072 (multiplicity 4)

Computed properties:
- DFT total energy (eV per cell) = -94.697
- spin magnetization (μB/f.u.) = 0.00

---

23.
Y3Al9Au2: relaxed, GGA-PBE.

a b c (Å): 4.284 10.259 12.344
angles (deg): 90.00 90.00 90.00
Space group Immm (No. 71)
Asymmetric unit:
Y 0.000 0.000 0.000 (multiplicity 2)
Y 0.000 0.000 0.312 (multiplicity 4)
Al 0.000 0.279 0.134 (multiplicity 8)
Al 0.000 0.374 0.338 (multiplicity 8)
Al 0.000 0.500 0.000 (multiplicity 2)
Au 0.000 0.212 0.500 (multiplicity 4)

Computed properties:
- DFT total energy (eV per cell) = -133.952
- spin magnetization (μB/f.u.) = 0.00